The following is a DFT calculation (PBE) of a relaxed AlPdPt crystal.

CIF file:
```
data_AlPdPt
_chemical_formula_sum 'Al2 Pd2 Pt2'
_space_group_name_H-M_alt 'P 63/m m c'
_space_group_IT_number 194
_space_group_name_Hall '-P 6c 2c'
_cell_length_a 4.3104
_cell_length_b 4.3104
_cell_length_c 5.5492
_cell_angle_alpha 90.00
_cell_angle_beta 90.00
_cell_angle_gamma 120.00
loop_
_atom_site_label
_atom_site_type_symbol
_atom_site_fract_x
_atom_site_fract_y
_atom_site_fract_z
Al1 Al 0.3333 0.6667 0.2500
Pd1 Pd 0.3333 0.6667 0.7500
Pt1 Pt 0.0000 0.0000 0.0000
```

Calculated values
- Energy above the lowest structure with this stoichiometry: 0 meV/atom
- Total moment: 0.0 μB/f.u.